Entry from Alexandria via LeMat-Bulk: a relaxed structure of YTa2ReC4 (PBE-GGA).

Properties
**Volume**: 12.9 A^3/atom
**D(E_F)**: 10.1 states/eV per cell
**Calculated formation energy**: -0.243 eV per atom
**Final energy**: -10.183 eV per atom
**Size of the total moment**: 0.0 μB per cell

abc: 3.2432 11.3418 11.2265
angles: 90.00 90.00 90.00
Closest atoms and distances in Å follow each position.
Space group Cmcm (No. 63)
Unique sites:
Y: 0.0000 0.1112 0.2500  6 C 2.46-2.65
Ta: 0.0000 0.3708 0.0351  3 C 2.07-2.22
Re: 0.0000 0.1537 0.7500  4 C 1.96-1.99
C: 0.0000 0.0000 0.0000  4 Ta 2.22
C: 0.0000 0.2626 0.6140  1 Re 1.96, 1 Ta 2.07
C: 0.0000 0.4477 0.2500  2 Re 1.99